Below is MnRePt2 after structural relaxation, with properties calculated at the GGA-PBE level.

Structure (POSCAR):
```
MnRePt2
1.0
9.024 -0.024 -0.014
8.600 2.734 -0.014
8.600 1.322 2.393
Re Mn Pt
1 1 2
Cartesian
6.556 1.008 0.591
19.667 3.024 1.773
13.074 2.010 1.179
0.037 0.006 0.003
```

Computed properties:
offset from the most stable computed form	0.110	eV per atom
ΔE_f	-0.07	eV per atom



Below is Mn2RePt after structural relaxation, with properties calculated at the GGA-PBE level.

Structure (POSCAR):
```
Mn2RePt
1.0
8.731 -0.028 -0.017
8.313 2.668 -0.017
8.313 1.287 2.337
Pt Mn Re
1 2 1
Cartesian
12.755 1.975 1.159
6.467 1.001 0.587
25.332 3.923 2.301
18.840 2.917 1.711
```

Computed properties:
ΔE_f	0.07	eV per atom



Below is MnRe2Pt after structural relaxation, with properties calculated at the GGA-PBE level.

Structure (POSCAR):
```
MnRe2Pt
1.0
-3.087 -6.834 4.960
-0.869 -6.145 6.506
-3.287 -4.798 6.857
Re Mn Pt
2 1 1
Cartesian
-7.220 -17.719 18.264
-1.809 -4.441 4.577
-3.627 -8.901 9.174
-5.452 -13.380 13.791
```

Computed properties:
offset from the most stable computed form	0.057	eV per atom
ΔE_f	0.00	eV per atom



Below is Mn2RePt after structural relaxation, with properties calculated at the GGA-PBE level.

Structure (POSCAR):
```
Mn2RePt
1.0
-2.734 -1.398 -3.640
-0.653 -3.159 -3.503
-2.672 -2.988 2.188
Mn Pt Re
2 1 1
Cartesian
-3.399 -4.569 -7.113
-4.547 -5.665 -3.739
-3.048 -3.794 -2.472
-1.480 -1.846 -1.250
```

Computed properties:
ΔE_f	0.00	eV per atom



Below is Mn2RePt after structural relaxation, with properties calculated at the GGA-PBE level.

Structure (POSCAR):
```
Mn2RePt
1.0
3.613 0.000 0.000
0.000 3.821 0.000
0.000 0.000 3.821
Re Mn Pt
1 2 1
Cartesian
1.807 0.000 1.910
0.000 0.000 0.000
0.000 1.910 1.910
1.807 1.910 0.000
```

Computed properties:
ΔE_f	-0.06	eV per atom



Below is MnRePt2 after structural relaxation, with properties calculated at the GGA-PBE level.

Structure (POSCAR):
```
MnRePt2
1.0
-0.889 -3.669 2.877
1.733 -3.969 -1.944
1.975 4.239 0.811
Pt Re Mn
2 1 1
Cartesian
0.000 0.000 0.000
0.753 -1.624 2.077
0.421 -3.818 0.467
2.065 -1.774 -0.333
```

Computed properties:
offset from the most stable computed form	0.073	eV per atom
ΔE_f	-0.10	eV per atom



Below is MnRePt2 after structural relaxation, with properties calculated at the GGA-PBE level.

Structure (POSCAR):
```
MnRePt2
1.0
4.764 -0.015 -0.002
3.967 2.639 -0.002
0.781 0.235 4.686
Pt Re Mn
2 1 1
Cartesian
0.782 0.235 4.676
4.755 1.429 2.351
7.134 2.143 3.511
2.378 0.714 1.170
```

Computed properties:
offset from the most stable computed form	0.100	eV per atom
ΔE_f	-0.08	eV per atom



Below is Mn2RePt after structural relaxation, with properties calculated at the GGA-PBE level.

Structure (POSCAR):
```
Mn2RePt
1.0
8.626 -0.069 -0.040
8.195 2.693 -0.040
8.195 1.279 2.371
Pt Re Mn
1 1 2
Cartesian
6.254 0.976 0.572
18.761 2.927 1.717
12.442 1.941 1.139
0.065 0.010 0.006
```

Computed properties:
ΔE_f	0.02	eV per atom



Below is MnRe2Pt after structural relaxation, with properties calculated at the GGA-PBE level.

Structure (POSCAR):
```
MnRe2Pt
1.0
-3.069 -0.979 -0.104
0.358 -1.427 2.867
-1.595 4.726 2.552
Re Pt Mn
2 1 1
Cartesian
-0.051 0.150 0.081
-0.747 2.213 1.195
-2.551 2.341 3.295
-1.754 -0.022 2.019
```

Computed properties:
offset from the most stable computed form	0.239	eV per atom
ΔE_f	0.18	eV per atom



Below is MnRePt2 after structural relaxation, with properties calculated at the GGA-PBE level.

Structure (POSCAR):
```
MnRePt2
1.0
-2.832 -2.618 2.788
1.517 -3.953 -2.171
2.026 -0.233 1.839
Re Mn Pt
1 1 2
Cartesian
-0.403 -1.425 2.313
1.771 -2.093 -0.166
-0.658 -3.286 0.308
0.000 0.000 0.000
```

Computed properties:
offset from the most stable computed form	0.200	eV per atom
ΔE_f	0.02	eV per atom



Below is MnRe2Pt after structural relaxation, with properties calculated at the GGA-PBE level.

Structure (POSCAR):
```
MnRe2Pt
1.0
-3.804 1.509 1.577
-1.265 -1.062 4.062
-0.012 3.042 3.159
Re Mn Pt
2 1 1
Cartesian
0.000 0.000 0.000
-1.270 0.872 2.199
-2.540 1.744 4.399
-3.810 2.616 6.598
```

Computed properties:
offset from the most stable computed form	0.244	eV per atom
ΔE_f	0.19	eV per atom



Below is MnRePt2 after structural relaxation, with properties calculated at the GGA-PBE level.

Structure (POSCAR):
```
MnRePt2
1.0
4.819 0.030 -0.006
-1.750 4.490 -0.006
0.005 0.007 2.737
Pt Mn Re
2 1 1
Cartesian
0.000 0.000 0.000
1.534 2.260 -0.006
-0.872 2.249 1.365
2.412 0.019 1.365
```

Computed properties:
offset from the most stable computed form	0.014	eV per atom
ΔE_f	-0.16	eV per atom



no.,magnetization (μB per formula unit)
1,3.2
2,3.6
3,3.6
4,5.2
5,1.7
6,2.1
7,3.0
8,5.8
9,1.2
10,5.1
11,2.8
12,3.4